The following is a PBE-GGA calculation of a geometry-optimized ZnInS3 structure, from Alexandria via LeMat-Bulk.

Cell lengths 6.3086, 6.3086, 7.4032 Å; angles 90.00, 90.00, 120.00 degrees
Last column: nearest neighbours and their distance in Å.
Space group P-31m (No. 162)
One atom of each set of equivalent atoms:
Zn 0.0000 0.0000 0.2116 [2 per cell]  3 S 2.26
In 0.3333 0.6667 0.0000 [2 per cell]  6 S 2.63
S 0.0000 0.3578 0.7745 [6 per cell]  1 Zn 2.26

Uncorrected formation energy: -0.29 eV per atom
ΔE to the lowest computed polymorph: 0.000 eV per atom

=====

The following is a PBE-GGA calculation of a geometry-optimized Zr2TlNi2 structure, from Alexandria via LeMat-Bulk.

Cell lengths 4.5554, 4.5554, 9.4945 Å; angles 90.00, 90.00, 90.00 degrees
Last column: nearest neighbours and their distance in Å.
Space group I4/mmm (No. 139)
One atom of each set of equivalent atoms:
Zr 0.0000 0.5000 0.2500 [4 per cell]  4 Ni 2.60
Tl 0.0000 0.0000 0.0000 [2 per cell]  8 Zr 3.29, 10 Ni 3.41-3.63
Ni 0.0000 0.0000 0.3824 [4 per cell]  1 Ni 2.23

=====

no.,total magnetization (Bohr magnetons per cell),E (eV/cell)
1,0.00,-35.69
2,0.00,-62.76